Entry 1:
A plane-wave DFT calculation with GGA-PBE was carried out for a geometry-optimized TmZn3Cu8 structure.

For the offset from the most stable computed form, the calculation gives 0.0000 eV per atom. The raw total energy is -42.28 eV/cell. Its density of states at the Fermi level is 0.345 states/eV per atom.

abc: 8.5745 8.5745 8.5745
angles: 33.33 33.33 33.33
Positions (direct):
1 Tm 0.0000 0.0000 0.0000
2 Zn 0.1302 0.1302 0.1302
3 Zn 0.4990 0.4990 0.4990
4 Zn 0.6128 0.6128 0.6128
5 Cu 0.0623 0.0623 0.5587
6 Cu 0.0623 0.5587 0.0623
7 Cu 0.0675 0.5648 0.5648
8 Cu 0.3128 0.3128 0.3128
9 Cu 0.5587 0.0623 0.0623
10 Cu 0.5648 0.0675 0.5648
11 Cu 0.5648 0.5648 0.0675
12 Cu 0.8133 0.8133 0.8133

---

Entry 2:
A plane-wave DFT calculation with GGA-PBE was carried out for a geometry-optimized TmZn9Cu2 structure.

For the offset from the most stable computed form, the calculation gives 0.0892 eV per atom. The raw total energy is -25.55 eV/cell. Its density of states at the Fermi level is 0.276 states/eV per atom.

abc: 8.4848 8.4848 2.9918
angles: 90.00 90.00 120.00
Positions (direct):
1 Tm 0.0000 0.0000 0.0000
2 Zn 0.0000 0.5000 0.0000
3 Zn 0.1853 0.3705 0.5000
4 Zn 0.1853 0.8147 0.5000
5 Zn 0.3705 0.1853 0.5000
6 Zn 0.5000 0.0000 0.0000
7 Zn 0.5000 0.5000 0.0000
8 Zn 0.6295 0.8147 0.5000
9 Zn 0.8147 0.1853 0.5000
10 Zn 0.8147 0.6295 0.5000
11 Cu 0.3333 0.6667 0.0000
12 Cu 0.6667 0.3333 0.0000